1.
## BeCr4Pb (PBE)

Data for an optimized crystal structure of BeCr4Pb.

Values from the calculation:
total energy = -7.01 eV per atom
space-group type = F-43m

```
BeCr4Pb
1.0
0.000 3.454 3.454
3.454 0.000 3.454
3.454 3.454 0.000
Be Cr Pb
1 4 1
Direct
0.000 0.000 0.000 Be
0.117 0.628 0.628 Cr
0.628 0.117 0.628 Cr
0.628 0.628 0.117 Cr
0.628 0.628 0.628 Cr
0.250 0.250 0.250 Pb
```

2.
## NaAlP2Cl (PBE)

Data for an optimized crystal structure of NaAlP2Cl.

Values from the calculation:
total energy = -2.63 eV per atom
space-group type = P4/mmm

```
NaAlP2Cl
1.0
5.060 0.000 0.000
0.000 5.060 0.000
0.000 0.000 5.038
Na Al P Cl
1 1 2 1
Direct
0.000 0.000 0.000 Na
0.500 0.500 0.500 Al
0.000 0.500 0.000 P
0.500 0.000 0.000 P
0.000 0.000 0.500 Cl
```

3.
## LiMn2Pt (PBE)

Data for an optimized crystal structure of LiMn2Pt.

Values from the calculation:
total energy = -6.71 eV per atom
space-group type = P4mm

```
LiMn2Pt
1.0
3.177 0.000 0.000
0.000 3.177 0.000
0.000 0.000 5.424
Li Mn Pt
1 2 1
Direct
0.000 0.000 0.000 Li
0.000 0.000 0.501 Mn
0.500 0.500 0.269 Mn
0.500 0.500 0.775 Pt
```

4.
## HgPRuCl2 (PBE)

Data for an optimized crystal structure of HgPRuCl2.

Values from the calculation:
total energy = -3.62 eV per atom
space-group type = P4/mmm

```
HgPRuCl2
1.0
4.958 0.000 0.000
0.000 4.958 0.000
0.000 0.000 4.532
Hg P Ru Cl
1 1 1 2
Direct
0.000 0.000 0.000 Hg
0.500 0.500 0.000 P
0.500 0.500 0.500 Ru
0.000 0.500 0.500 Cl
0.500 0.000 0.500 Cl
```